AgHO2 | GGA-PBE | optimized geometry

abc: 3.5681 5.4105 5.4266
angles: 86.13 72.23 72.59
With the nearest neighbours (Å) after each atom.
Element x y z (fractional)
Ag1 0.8279 0.6723 0.4953  2 O 2.07-2.08
Ag2 0.8288 0.1704 0.9963  2 O 2.07
H1 0.2627 0.6897 0.0144  1 O 1.04
H2 0.7973 0.6506 0.9751  1 O 1.04
O1 0.9615 0.7904 0.1152  1 H 1.04
O2 0.2484 0.2365 0.3808  1 O 1.33
O3 0.2454 0.0559 0.5600  1 O 1.33
O4 0.6815 0.5492 0.8739  1 H 1.04

**E_tot**: -4.38 eV/atom
**Symmetry**: P1 (1)
**Theoretical density**: 4.92 g/cm³